No. 1
The following is a GGA-PBE calculation of an optimized crystal structure of TbLuTlBi, from the Alexandria database.

Results
The value obtained for the formation energy is -0.3627 eV per atom. The calculation puts the uncorrected energy at -4.21 eV/atom. The crystal system is cubic.

CIF file:
```
data_TbLuTlBi
_symmetry_space_group_name_H-M 'F -4 3 m'
_symmetry_Int_Tables_number 216
_symmetry_space_group_name_Hall 'F -4 2 3'
_cell_length_a 7.662
_cell_length_b 7.662
_cell_length_c 7.662
_cell_angle_alpha 90.00
_cell_angle_beta 90.00
_cell_angle_gamma 90.00
loop_
_atom_site_label
_atom_site_fract_x
_atom_site_fract_y
_atom_site_fract_z
Tb1 0.000 0.000 0.000
Lu1 0.000 0.000 0.500
Tl1 0.250 0.250 0.250
Bi1 0.250 0.250 0.750
```

***

No. 2
The following is a GGA-PBE calculation of an optimized crystal structure of Lu5Bi3Te12, from the Alexandria database.

Results
The value obtained for the formation energy without anion corrections is -0.629 eV/atom. The calculation puts the uncorrected energy at -4.23 eV/atom. The crystal system is cubic.

CIF file:
```
data_Lu5Bi3Te12
_symmetry_space_group_name_H-M 'I a -3 d'
_symmetry_Int_Tables_number 230
_symmetry_space_group_name_Hall '-I 4bd 2c 3'
_cell_length_a 18.162
_cell_length_b 18.162
_cell_length_c 18.162
_cell_angle_alpha 90.00
_cell_angle_beta 90.00
_cell_angle_gamma 90.00
loop_
_atom_site_label
_atom_site_fract_x
_atom_site_fract_y
_atom_site_fract_z
Lu1 0.000 0.000 0.000
Lu2 0.000 0.250 0.375
Bi1 0.000 0.250 0.125
Te1 0.024 0.068 0.650
```

***

No. 3
The following is a GGA-PBE calculation of an optimized crystal structure of LuBiTe2, from the Alexandria database.

Results
The value obtained for the formation energy without anion corrections is -0.699 eV/atom. The calculation puts the uncorrected energy at -4.37 eV/atom. The crystal system is trigonal.

CIF file:
```
data_LuBiTe2
_symmetry_space_group_name_H-M 'R -3 m'
_symmetry_Int_Tables_number 166
_symmetry_space_group_name_Hall '-R 3 2"'
_cell_length_a 4.1452
_cell_length_b 4.1452
_cell_length_c 29.2171
_cell_angle_alpha 90.00
_cell_angle_beta 90.00
_cell_angle_gamma 120.00
loop_
_atom_site_label
_atom_site_fract_x
_atom_site_fract_y
_atom_site_fract_z
Lu1 0.0000 0.0000 0.0000
Bi1 0.0000 0.0000 0.5000
Te1 0.0000 0.0000 0.3947
```